4
Lattice="5.2801 0.0000 0.0000 -2.6400 4.5727 0.0000 0.0000 0.0000 6.2088" Properties=species:S:1:pos:R:3 comment="InCl (GGA-PBEsol, relaxed)" raw_formation_energy_mev_per_atom=-649 dft_energy_ev_per_atom=-3.144 pbc="T T T"
In 0.0000 3.0484 0.3986
Cl 2.6400 1.5242 0.4023
Cl 0.0000 3.0484 3.5067
In 2.6400 1.5242 3.5030